Record 1
DFT (PBE-GGA) results for a relaxed structure of NdTcPO.

Cell lengths 4.2423, 4.2423, 8.9644 Å; angles 90.00, 90.00, 90.00 degrees
With the nearest neighbours (Å) after each atom.
Space group P4/nmm (No. 129, origin choice 2)
Unique sites:
Nd 0.2500 0.7500 0.0000  4 P 2.89, 4 Nd 3.00
Tc 0.2500 0.2500 0.4661  4 O 2.14, 1 P 2.21
P 0.2500 0.2500 0.2195  1 Tc 2.21
O 0.2500 0.7500 0.5000  4 Tc 2.14

Computed properties:
Polymorph energy (0 for the lowest one), eV per atom: 1.666
Energy, eV per atom: -6.570
ρ, g/cm³: 5.95

---

Record 2
DFT (PBE-GGA) results for a relaxed structure of TlAg3GeO4.

Cell lengths 5.2776, 5.2776, 5.2776 Å; angles 90.00, 90.00, 90.00 degrees
With the nearest neighbours (Å) after each atom.
Space group P-43m (No. 215)
Unique sites:
Tl 0.0000 0.0000 0.0000  4 O 2.23
Ag 0.0000 0.5000 0.5000  4 O 2.30
Ge 0.5000 0.5000 0.5000  4 O 2.34
O 0.2442 0.2442 0.2442  1 Tl 2.23, 3 Ag 2.30, 1 Ge 2.34

Computed properties:
Energy, eV per atom: -4.087
ρ, g/cm³: 7.51

---

Record 3
DFT (PBE-GGA) results for a relaxed structure of AcHfAsO.

Cell lengths 4.4278, 4.4278, 8.7860 Å; angles 90.00, 90.00, 90.00 degrees
With the nearest neighbours (Å) after each atom.
Space group P4/nmm (No. 129, origin choice 2)
Unique sites:
Ac 0.2500 0.7500 0.0000  4 As 3.11, 4 Ac 3.13
Hf 0.2500 0.2500 0.4476  4 O 2.26
As 0.2500 0.2500 0.7507  1 Hf 2.66
O 0.2500 0.7500 0.5000  4 Hf 2.26

Computed properties:
Polymorph energy (0 for the lowest one), eV per atom: 0.815
Energy, eV per atom: -7.052
ρ, g/cm³: 9.57

---

Record 4
DFT (PBE-GGA) results for a relaxed structure of Ho3Mg3InAgPt.

Cell lengths 7.9059, 7.9059, 3.8939 Å; angles 90.00, 90.00, 120.00 degrees
With the nearest neighbours (Å) after each atom.
Space group P-6 (No. 174)
Unique sites:
Ho 0.0349 0.4292 0.0000  2 Pt 2.91
Mg 0.2536 0.2506 0.5000  2 Ag 2.79, 1 In 2.99, 1 Pt 3.02
In 0.6667 0.3333 0.5000  3 Mg 2.99, 6 Ho 3.26
Ag 0.0000 0.0000 0.0000  6 Mg 2.79
Pt 0.3333 0.6667 0.5000  6 Ho 2.91, 3 Mg 3.02

Computed properties:
Energy, eV per atom: -3.894
ρ, g/cm³: 7.76

---

Record 5
DFT (PBE-GGA) results for a relaxed structure of Zr2Nb.

Cell lengths 8.0226, 8.0226, 8.0226 Å; angles 90.00, 90.00, 90.00 degrees
With the nearest neighbours (Å) after each atom.
Space group Fd-3m (No. 227, origin choice 2)
Unique sites:
Zr 0.0000 0.0000 0.0000  6 Zr 2.84
Nb 0.1250 0.1250 0.6250  12 Zr 3.33, 4 Nb 3.47

Computed properties:
Energy, eV per atom: -8.566
ρ, g/cm³: 7.08

---

Record 6
DFT (PBE-GGA) results for a relaxed structure of HoGaNiPt.

Cell lengths 4.2848, 4.2848, 8.8663 Å; angles 90.00, 90.00, 120.00 degrees
With the nearest neighbours (Å) after each atom.
Space group P6_3mc (No. 186)
Unique sites:
Ho 0.3333 0.6667 0.0000  4 Ni 2.89-2.92, 4 Pt 2.89-2.93
Ga 0.0000 0.0000 0.2427  3 Ni 2.55, 3 Pt 2.59
Ni 0.3333 0.6667 0.6746  3 Ga 2.55, 3 Pt 2.84
Pt 0.3333 0.6667 0.3308  3 Ga 2.59, 3 Ni 2.84, 3 Ho 2.89

Computed properties:
Polymorph energy (0 for the lowest one), eV per atom: 0.000
Energy, eV per atom: -5.637
ρ, g/cm³: 11.51

---

Record 7
DFT (PBE-GGA) results for a relaxed structure of Er4AlCo2Ge4.

Cell lengths 15.1098, 4.2073, 6.8628 Å; angles 90.00, 107.46, 90.00 degrees
With the nearest neighbours (Å) after each atom.
Space group C2/m (No. 12)
Unique sites:
Er 0.0891 0.0000 0.3868  3 Co 2.91-3.03, 6 Ge 2.93-3.10
Er 0.1523 0.0000 0.9411  5 Ge 2.86-2.99, 1 Co 2.99
Al 0.0000 0.5000 0.0000  4 Ge 2.77-3.05
Co 0.2210 0.5000 0.6307  4 Ge 2.40-2.44
Ge 0.0666 0.5000 0.6662  1 Co 2.42, 1 Ge 2.55
Ge 0.2025 0.5000 0.2647  3 Co 2.40-2.44

Computed properties:
Energy, eV per atom: -5.696
ρ, g/cm³: 8.81

---

Record 8
DFT (PBE-GGA) results for a relaxed structure of Pr3InS6.

Cell lengths 11.1065, 13.9074, 6.8271 Å; angles 90.00, 90.00, 90.00 degrees
With the nearest neighbours (Å) after each atom.
Space group Cmc2_1 (No. 36)
Unique sites:
Pr 0.0000 0.0985 0.0000  7 S 2.86-3.08
Pr 0.1865 0.4008 0.9162  7 S 2.80-3.10
In 0.0000 0.3014 0.3855  4 S 2.46-2.53
S 0.0000 0.2805 0.7430  1 In 2.46
S 0.0000 0.4659 0.2271  1 In 2.53
S 0.1614 0.0266 0.7087  4 Pr 2.80-2.88
S 0.1697 0.2326 0.1929  1 In 2.49

Computed properties:
Energy, eV per atom: -5.876
ρ, g/cm³: 4.60

---

Record 9
DFT (PBE-GGA) results for a relaxed structure of Tb2YMg3Ir2Pd.

Cell lengths 4.0210, 12.7846, 7.3634 Å; angles 90.00, 90.00, 90.00 degrees
With the nearest neighbours (Å) after each atom.
Space group Amm2 (No. 38)
Unique sites:
Tb 0.0000 0.2083 0.0000  4 Ir 2.99, 1 Pd 3.07, 2 Mg 3.19
Y 0.0000 0.0000 0.6240  4 Ir 3.00, 1 Pd 3.07, 6 Mg 3.18-3.34
Mg 0.5000 0.0000 0.9588  2 Pd 2.72, 2 Ir 2.82
Mg 0.5000 0.1241 0.3328  2 Pd 2.72, 2 Ir 2.82
Ir 0.5000 0.1672 0.7086  3 Mg 2.82, 4 Tb 2.99, 2 Y 3.00
Pd 0.0000 0.0000 0.2076  6 Mg 2.72

Computed properties:
Energy, eV per atom: -5.500
ρ, g/cm³: 8.52

---

Record 10
DFT (PBE-GGA) results for a relaxed structure of Ga2PtBr2Cl6.

Cell lengths 12.0967, 7.9954, 7.4995 Å; angles 90.00, 97.00, 90.00 degrees
With the nearest neighbours (Å) after each atom.
Space group C2/m (No. 12)
Unique sites:
Ga 0.2205 0.0000 0.3222  3 Cl 2.13-2.32, 1 Br 2.29
Pt 0.0000 0.0000 0.0000  4 Cl 2.31
Br 0.1829 0.0000 0.6146  1 Ga 2.29
Cl 0.1108 0.5000 0.7334  1 Ga 2.13
Cl 0.1140 0.1987 0.1526  1 Pt 2.31, 1 Ga 2.32

Computed properties:
Energy, eV per atom: -3.245
ρ, g/cm³: 3.26

---

Record 11
DFT (PBE-GGA) results for a relaxed structure of LuFeCo2.

Cell lengths 4.9808, 4.9808, 23.5602 Å; angles 90.00, 90.00, 120.00 degrees
With the nearest neighbours (Å) after each atom.
Space group R-3m (No. 166, hexagonal axes)
Unique sites:
Lu 0.0000 0.0000 0.0000  6 Fe 2.88, 12 Co 3.16
Lu 0.0000 0.0000 0.1403  9 Co 2.84-2.96, 3 Fe 2.94, 3 Lu 3.13
Fe 0.0000 0.0000 0.3344  6 Co 2.41-2.43
Fe 0.0000 0.0000 0.5000  6 Co 2.46
Co 0.0044 0.5022 0.9174  3 Fe 2.41-2.46, 4 Co 2.46-2.52

Computed properties:
Polymorph energy (0 for the lowest one), eV per atom: 0.000
Energy, eV per atom: -6.999
ρ, g/cm³: 10.29

---

Record 12
DFT (PBE-GGA) results for a relaxed structure of DyTm2Ga3CuGe2.

Cell lengths 4.1225, 12.1302, 6.9768 Å; angles 90.00, 90.00, 90.00 degrees
With the nearest neighbours (Å) after each atom.
Space group Amm2 (No. 38)
Unique sites:
Dy 0.0000 0.0000 0.0000  1 Cu 2.82, 4 Ge 2.98
Tm 0.0000 0.2004 0.3996  1 Cu 2.79, 4 Ge 2.96
Ga 0.5000 0.0000 0.3633  2 Cu 2.62, 2 Ge 2.75, 2 Ga 2.85
Ga 0.5000 0.1178 0.7165  2 Cu 2.65, 2 Ge 2.72-2.75, 2 Ga 2.85-2.86
Cu 0.0000 0.0000 0.5953  6 Ga 2.62-2.65, 2 Tm 2.79, 1 Dy 2.82
Ge 0.5000 0.1682 0.1001  3 Ga 2.72-2.75, 4 Tm 2.96, 2 Dy 2.98

Computed properties:
Energy, eV per atom: -4.591
ρ, g/cm³: 8.74

---

Record 13
DFT (PBE-GGA) results for a relaxed structure of Er2AlTlZn2.

Cell lengths 4.5533, 4.5533, 7.2024 Å; angles 90.00, 90.00, 120.00 degrees
With the nearest neighbours (Å) after each atom.
Space group P3m1 (No. 156)
Unique sites:
Er 0.0000 0.0000 0.0000  6 Zn 2.95-3.30, 3 Al 3.06
Er 0.0000 0.0000 0.4882  3 Zn 3.04, 3 Tl 3.09, 3 Al 3.27
Al 0.6667 0.3333 0.2173  4 Zn 2.66-2.91
Tl 0.3333 0.6667 0.7137  3 Zn 2.72
Zn 0.3333 0.6667 0.2766  3 Al 2.66
Zn 0.6667 0.3333 0.8127  3 Tl 2.72, 1 Al 2.91, 3 Er 2.95

Computed properties:
Energy, eV per atom: -3.345
ρ, g/cm³: 8.95

---

Record 14
DFT (PBE-GGA) results for a relaxed structure of LiHoGe.

Cell lengths 7.7186, 7.7186, 3.9357 Å; angles 90.00, 90.00, 120.00 degrees
With the nearest neighbours (Å) after each atom.
Space group P-62m (No. 189)
Unique sites:
Li 0.0000 0.6029 0.0000  5 Ge 3.07-3.08, 6 Ho 3.22-3.35
Ho 0.0000 0.2720 0.5000  4 Ge 2.84-2.88
Ge 0.0000 0.0000 0.0000  6 Ho 2.88, 3 Li 3.07
Ge 0.3333 0.6667 0.5000  3 Ho 2.84, 6 Li 3.08

Computed properties:
Energy, eV per atom: -4.121
ρ, g/cm³: 6.00

---

Record 15
DFT (PBE-GGA) results for a relaxed structure of NaMgNbS3.

Cell lengths 3.7015, 13.3210, 9.9623 Å; angles 90.00, 90.00, 90.00 degrees
With the nearest neighbours (Å) after each atom.
Space group Cmcm (No. 63)
Unique sites:
Na 0.0000 0.2461 0.2500  6 S 2.88-3.17
Mg 0.0000 0.0317 0.7500  4 S 2.38
Nb 0.0000 0.5000 0.0000  6 S 2.59-2.71
S 0.0000 0.1304 0.5507  1 Mg 2.38, 2 Nb 2.59
S 0.0000 0.4194 0.7500  2 Mg 2.38

Computed properties:
Polymorph energy (0 for the lowest one), eV per atom: 0.138
Energy, eV per atom: -5.185
ρ, g/cm³: 3.20

---

Record 16
DFT (PBE-GGA) results for a relaxed structure of Zn2GeAu.

Cell lengths 6.5250, 6.5250, 6.5250 Å; angles 90.00, 90.00, 90.00 degrees
With the nearest neighbours (Å) after each atom.
Space group F-43m (No. 216)
Unique sites:
Zn 0.0000 0.0000 0.0000  4 Zn 2.83, 4 Au 2.83
Zn 0.2500 0.2500 0.2500  4 Ge 2.83, 4 Zn 2.83
Ge 0.0000 0.0000 0.5000  4 Au 2.83, 4 Zn 2.83
Au 0.2500 0.2500 0.7500  4 Ge 2.83, 4 Zn 2.83

Computed properties:
Energy, eV per atom: -2.493
ρ, g/cm³: 9.57

---

Record 17
DFT (PBE-GGA) results for a relaxed structure of Nb4AlBiN2.

Cell lengths 3.2615, 3.2615, 13.6141 Å; angles 90.00, 90.00, 120.00 degrees
With the nearest neighbours (Å) after each atom.
Space group P-6m2 (No. 187)
Unique sites:
Nb 0.0000 0.0000 0.1580  3 N 2.21
Nb 0.3333 0.6667 0.3220  3 N 2.17
Al 0.3333 0.6667 0.0000  6 Nb 2.86
Bi 0.0000 0.0000 0.5000  6 Nb 3.07, 6 Bi 3.26
N 0.6667 0.3333 0.2430  6 Nb 2.17-2.21

Computed properties:
Energy, eV per atom: -8.558
ρ, g/cm³: 8.42

---

Record 18
DFT (PBE-GGA) results for a relaxed structure of PmBAsO.

Cell lengths 5.1387, 4.1807, 5.9778 Å; angles 90.00, 90.00, 90.00 degrees
With the nearest neighbours (Å) after each atom.
Space group Pmc2_1 (No. 26)
Unique sites:
Pm 0.0000 0.2485 0.0000  3 O 2.16-2.25
B 0.5000 0.2473 0.3102  3 As 2.17-2.26
As 0.5000 0.2494 0.6733  3 B 2.17-2.26
O 0.0000 0.2519 0.3614  3 Pm 2.16-2.25

Computed properties:
Polymorph energy (0 for the lowest one), eV per atom: 0.306
Energy, eV per atom: -6.244
ρ, g/cm³: 6.38

---

Record 19
DFT (PBE-GGA) results for a relaxed structure of KPPtO.

Cell lengths 3.3771, 7.6552, 6.0101 Å; angles 90.00, 90.00, 90.00 degrees
With the nearest neighbours (Å) after each atom.
Space group Pmc2_1 (No. 26)
Unique sites:
K 0.0000 0.1915 0.0000  4 O 2.68-2.71
P 0.0000 0.3907 0.4992  2 Pt 2.25
Pt 0.5000 0.1959 0.4985  2 O 2.11-2.14, 2 P 2.25
O 0.5000 0.0009 0.7531  2 Pt 2.11-2.14

Computed properties:
Polymorph energy (0 for the lowest one), eV per atom: 0.000
Energy, eV per atom: -4.851
ρ, g/cm³: 6.01

---

Record 20
DFT (PBE-GGA) results for a relaxed structure of YHoSi2Pt4.

Cell lengths 7.1124, 3.8685, 10.1896 Å; angles 90.00, 90.00, 90.00 degrees
With the nearest neighbours (Å) after each atom.
Space group Amm2 (No. 38)
Unique sites:
Y 0.0000 0.0000 0.0000  3 Si 2.88-2.94, 8 Pt 3.03-3.12
Ho 0.5000 0.0000 0.1042  3 Si 2.88-2.94, 8 Pt 3.02-3.11
Si 0.0000 0.0000 0.2827  6 Pt 2.50-2.56
Si 0.5000 0.0000 0.8215  6 Pt 2.49-2.56
Pt 0.2005 0.0000 0.6954  3 Si 2.49-2.56
Pt 0.3006 0.0000 0.4091  3 Si 2.50-2.56

Computed properties:
Energy, eV per atom: -6.928
ρ, g/cm³: 12.92